(1)
The following is a PBE+U calculation of V2Cu2O7 after structural relaxation, from the Alexandria database.

Results
V, Å³/atom: 14.4
Magnetization, μB per formula unit: 2.01
N(E_F), states/eV/cell: 1.11
Distance to the lowest polymorph of the same formula, kcal/mol of atoms: 0.13
Calculated total energy, eV per cell: -72.66

a b c (Å): 5.3016 5.7601 5.7601
angles (deg): 91.80 107.42 107.42
Last column: nearest neighbours and their distance in Å.
Fractional coordinates of all 11 atoms:
O (0.2788, 0.6511, 0.9878)  1 V 1.71, 1 Cu 1.90
O (0.7212, 0.3489, 0.0122)  1 V 1.71, 1 Cu 1.90
O (0.7634, 0.6011, 0.6011)  1 V 1.80, 2 Cu 1.95
O (0.2366, 0.3989, 0.3989)  1 V 1.80, 2 Cu 1.95
O (0.2788, 0.9878, 0.6511)  1 V 1.71, 1 Cu 1.90
O (0.7212, 0.0122, 0.3489)  1 V 1.71, 1 Cu 1.90
O (0.0000, 0.0000, 0.0000)  2 V 1.78
V (0.0854, 0.8075, 0.8075)  4 O 1.71-1.80
V (0.9146, 0.1925, 0.1925)  4 O 1.71-1.80
Cu (0.5000, 0.6786, 0.3214)  4 O 1.90-1.95
Cu (0.5000, 0.3214, 0.6786)  4 O 1.90-1.95


(2)
The following is a PBE+U calculation of V2Cu2O7 after structural relaxation, from the Alexandria database.

Results
V, Å³/atom: 13.0
Magnetization, μB per formula unit: 1.95
N(E_F), states/eV/cell: 3.36
Distance to the lowest polymorph of the same formula, kcal/mol of atoms: 0.37
Calculated total energy, eV per cell: -145.09

a b c (Å): 5.0847 6.0074 9.7008
angles (deg): 100.00 98.05 97.01
Last column: nearest neighbours and their distance in Å.
Fractional coordinates of all 22 atoms:
O (0.2845, 0.4478, 0.1147)  1 V 1.71, 1 Cu 1.90
O (0.5880, 0.1791, 0.6475)  1 V 1.73, 1 Cu 1.91
O (0.5584, 0.6944, 0.6157)  1 V 1.70
O (0.4416, 0.3056, 0.3843)  1 V 1.70
O (0.0911, 0.9075, 0.6028)  1 V 1.76, 1 Cu 1.96
O (0.3909, 0.8923, 0.8768)  1 V 1.78, 2 Cu 1.95-1.98
O (0.7155, 0.5522, 0.8853)  1 V 1.71, 1 Cu 1.90
O (0.0270, 0.8403, 0.1235)  1 V 1.73, 1 Cu 1.89
O (0.6091, 0.1077, 0.1232)  1 V 1.78, 2 Cu 1.95-1.98
O (0.0981, 0.4746, 0.6918)  2 V 1.79-1.84
O (0.9089, 0.0925, 0.3972)  1 V 1.76, 1 Cu 1.96
O (0.9730, 0.1597, 0.8765)  1 V 1.73, 1 Cu 1.89
O (0.9019, 0.5254, 0.3082)  2 V 1.79-1.84
O (0.4120, 0.8209, 0.3525)  1 V 1.73, 1 Cu 1.91
Cu (0.2940, 0.1586, 0.0003)  4 O 1.89-1.98
Cu (0.7060, 0.8414, 0.9997)  4 O 1.89-1.98
Cu (0.2698, 0.1430, 0.5100)  4 O 1.91-2.00
Cu (0.7302, 0.8570, 0.4900)  4 O 1.91-2.00
V (0.1645, 0.6555, 0.2210)  4 O 1.71-1.84
V (0.8355, 0.3445, 0.7790)  4 O 1.71-1.84
V (0.2921, 0.7470, 0.6975)  4 O 1.70-1.79
V (0.7079, 0.2530, 0.3025)  4 O 1.70-1.79


(3)
The following is a PBE+U calculation of V4CuO8 after structural relaxation, from the Alexandria database.

Results
V, Å³/atom: 11.3
Magnetization, μB per formula unit: 5.00
N(E_F), states/eV/cell: 8.91
Calculated total energy, eV per cell: -95.65

a b c (Å): 5.9312 5.9312 5.9312
angles (deg): 60.00 60.00 60.00
Last column: nearest neighbours and their distance in Å.
Fractional coordinates of all 13 atoms:
V (0.3720, 0.8840, 0.3720)  6 O 1.97-2.03
V (0.3720, 0.3720, 0.3720)  6 O 1.97-2.03
V (0.8840, 0.3720, 0.3720)  6 O 1.97-2.03
V (0.3720, 0.3720, 0.8840)  6 O 1.97-2.03
O (0.1376, 0.5871, 0.1376)  3 V 1.97
O (0.1610, 0.6130, 0.6130)  1 Cu 1.99, 3 V 2.03
O (0.6130, 0.1610, 0.6130)  1 Cu 1.99, 3 V 2.03
O (0.6130, 0.6130, 0.6130)  1 Cu 1.99, 3 V 2.03
O (0.6130, 0.6130, 0.1610)  1 Cu 1.99, 3 V 2.03
O (0.1376, 0.1376, 0.1376)  3 V 1.97
O (0.1376, 0.1376, 0.5871)  3 V 1.97
O (0.5871, 0.1376, 0.1376)  3 V 1.97
Cu (0.7500, 0.7500, 0.7500)  4 O 1.99


(4)
The following is a PBE+U calculation of V3CuO after structural relaxation, from the Alexandria database.

Results
V, Å³/atom: 20.9
Magnetization, μB per formula unit: 8.31
N(E_F), states/eV/cell: 3.38
Calculated total energy, eV per cell: -22.96

a b c (Å): 4.7107 4.7107 4.7107
angles (deg): 90.00 90.00 90.00
Last column: nearest neighbours and their distance in Å.
Fractional coordinates of all 5 atoms:
V (0.5000, 0.0000, 0.0000)  2 Cu 2.36
V (0.0000, 0.5000, 0.0000)  2 Cu 2.36
V (0.0000, 0.0000, 0.5000)  2 Cu 2.36
Cu (0.0000, 0.0000, 0.0000)  6 V 2.36
O (0.5000, 0.5000, 0.5000)  12 V 3.33


(5)
The following is a PBE+U calculation of V3CuO after structural relaxation, from the Alexandria database.

Results
V, Å³/atom: 13.6
Magnetization, μB per formula unit: 6.24
N(E_F), states/eV/cell: 3.89
Calculated total energy, eV per cell: -30.41

a b c (Å): 4.0841 4.0841 4.0841
angles (deg): 90.00 90.00 90.00
Last column: nearest neighbours and their distance in Å.
Fractional coordinates of all 5 atoms:
V (0.0000, 0.5000, 0.0000)  2 O 2.04
V (0.0000, 0.0000, 0.5000)  2 O 2.04
V (0.5000, 0.0000, 0.0000)  2 O 2.04
Cu (0.5000, 0.5000, 0.5000)  12 V 2.89
O (0.0000, 0.0000, 0.0000)  6 V 2.04


(6)
The following is a PBE+U calculation of VCu3O6 after structural relaxation, from the Alexandria database.

Results
V, Å³/atom: 10.2
Magnetization, μB per formula unit: 0.00
N(E_F), states/eV/cell: 9.45
Distance to the lowest polymorph of the same formula, kcal/mol of atoms: 1.50
Calculated total energy, eV per cell: -116.18

a b c (Å): 5.9074 5.9074 5.9074
angles (deg): 95.57 95.57 95.57
Last column: nearest neighbours and their distance in Å.
Fractional coordinates of all 20 atoms:
Cu (0.5908, 0.0416, 0.2682)  4 O 1.92-1.95
Cu (0.9584, 0.7318, 0.4092)  4 O 1.92-1.95
Cu (0.0416, 0.2682, 0.5908)  4 O 1.92-1.95
Cu (0.7318, 0.4092, 0.9584)  4 O 1.92-1.95
Cu (0.4092, 0.9584, 0.7318)  4 O 1.92-1.95
Cu (0.2682, 0.5908, 0.0416)  4 O 1.92-1.95
O (0.3537, 0.2148, 0.5661)  1 V 1.91, 2 Cu 1.92
O (0.2148, 0.5661, 0.3537)  1 V 1.91, 2 Cu 1.92
O (0.2916, 0.9213, 0.1247)  2 Cu 1.92-1.95, 1 V 1.92
O (0.7084, 0.0787, 0.8753)  2 Cu 1.92-1.95, 1 V 1.92
O (0.0787, 0.8753, 0.7084)  2 Cu 1.92-1.95, 1 V 1.92
O (0.7852, 0.4339, 0.6463)  1 V 1.91, 2 Cu 1.92
O (0.8753, 0.7084, 0.0787)  2 Cu 1.92-1.95, 1 V 1.92
O (0.1247, 0.2916, 0.9213)  2 Cu 1.92-1.95, 1 V 1.92
O (0.5661, 0.3537, 0.2148)  1 V 1.91, 2 Cu 1.92
O (0.9213, 0.1247, 0.2916)  2 Cu 1.92-1.95, 1 V 1.92
O (0.6463, 0.7852, 0.4339)  1 V 1.91, 2 Cu 1.92
O (0.4339, 0.6463, 0.7852)  1 V 1.91, 2 Cu 1.92
V (0.0000, 0.0000, 0.0000)  6 O 1.92
V (0.5000, 0.5000, 0.5000)  6 O 1.91


(7)
The following is a PBE+U calculation of VCuO3 after structural relaxation, from the Alexandria database.

Results
V, Å³/atom: 11.4
Magnetization, μB per formula unit: 0.00
Calculated total energy, eV per cell: -66.16

a b c (Å): 2.8277 5.5889 7.3811
angles (deg): 90.00 101.04 90.00
Last column: nearest neighbours and their distance in Å.
Fractional coordinates of all 10 atoms:
O (0.0976, 0.8545, 0.1953)  1 Cu 1.89, 2 V 1.95
O (0.9024, 0.3545, 0.8047)  1 Cu 1.89, 2 V 1.95
O (0.2399, 0.1058, 0.4797)  2 V 1.87
O (0.5930, 0.2834, 0.1859)  1 V 1.73
O (0.4070, 0.7834, 0.8141)  1 V 1.73
O (0.7601, 0.6058, 0.5203)  2 V 1.87
Cu (0.9214, 0.0208, 0.8428)  3 O 1.89-1.95
Cu (0.0786, 0.5208, 0.1572)  3 O 1.89-1.95
V (0.3393, 0.5295, 0.6786)  3 O 1.73-1.87
V (0.6607, 0.0295, 0.3214)  3 O 1.73-1.87


(8)
The following is a PBE+U calculation of VCu3O after structural relaxation, from the Alexandria database.

Results
V, Å³/atom: 13.3
Magnetization, μB per formula unit: 3.45
N(E_F), states/eV/cell: 4.08
Distance to the lowest polymorph of the same formula, kcal/mol of atoms: 0.00
Calculated total energy, eV per cell: -22.83

a b c (Å): 4.0530 4.0530 4.0530
angles (deg): 90.00 90.00 90.00
Last column: nearest neighbours and their distance in Å.
Fractional coordinates of all 5 atoms:
Cu (0.0000, 0.0000, 0.5000)  2 O 2.03
Cu (0.5000, 0.0000, 0.0000)  2 O 2.03
Cu (0.0000, 0.5000, 0.0000)  2 O 2.03
V (0.5000, 0.5000, 0.5000)  12 Cu 2.87
O (0.0000, 0.0000, 0.0000)  6 Cu 2.03